# Sc3Au (PBE, optimized geometry)
data_Sc3Au
_cell_length_a 4.920
_cell_length_b 4.920
_cell_length_c 4.920
_cell_angle_alpha 60.00
_cell_angle_beta 60.00
_cell_angle_gamma 60.00
_space_group_name_H-M_alt 'P 1'
_space_group_IT_number 1
loop_
_space_group_symop_operation_xyz
'x,y,z'
loop_
_atom_site_label
_atom_site_type_symbol
_atom_site_fract_x
_atom_site_fract_y
_atom_site_fract_z
Sc1 Sc 0.000 0.000 0.000
Sc2 Sc 0.250 0.250 0.250
Sc3 Sc 0.750 0.750 0.750
Au1 Au 0.500 0.500 0.500
# VASP energy = -0.4266 Ry per atom
# Energy of formation = -0.237 eV/atom
# Spin magnetization = 1.845 Bohr magnetons per cell